First-principles (PBE) data for a relaxed structure of Er4TlHg5, as listed in Alexandria.

Cell lengths 3.737, 3.737, 18.207 Å; angles 90.00, 90.00, 90.00 degrees
Space group P4/mmm (No. 123)
Symmetry-distinct sites (fractional):
1 Er 0.000 0.000 0.100 x2
2 Er 0.000 0.000 0.301 x2
3 Tl 0.000 0.000 0.500 x1
4 Hg 0.500 0.500 0.000 x1
5 Hg 0.500 0.500 0.197 x2
6 Hg 0.500 0.500 0.391 x2

Values from the calculation:
E   -2.60 eV/atom
DOS(E_F)   0.621 states/eV/atom